[1]
First-principles (GGA-PBE) data for RbLiNiW after structural relaxation, as listed in the Open Quantum Materials Database.

Properties
Size of the total moment   3.7 μB/f.u.
Energy above the most stable polymorph in this dataset   0.26 eV per formula unit
Space group   F-43m, No. 216

Geometry as POSCAR:
```
RbLiNiW
1.0
0.0000 3.4213 3.4213
3.4213 0.0000 3.4213
3.4213 3.4213 0.0000
Li Ni Rb W
1 1 1 1
direct
0.7500 0.7500 0.7500 Li
0.2500 0.2500 0.2500 Ni
0.5000 0.5000 0.5000 Rb
0.0000 0.0000 0.0000 W
```

---

[2]
First-principles (GGA-PBE) data for Tm4GaFe2Ge4 after structural relaxation, as listed in the Open Quantum Materials Database.

Properties
Size of the total moment   0.0 μB/f.u.
Space group   C2/m, No. 12

Geometry as POSCAR:
```
Tm4GaFe2Ge4
1.0
-4.5411 4.0503 4.9331
-7.1621 1.7072 2.6744
2.0378 -5.5577 3.4006
Fe Ga Ge Tm
2 1 4 4
direct
0.7787 0.7787 0.3673 Fe
0.2213 0.2213 0.6327 Fe
0.0000 0.0000 0.0000 Ga
0.2053 0.2053 0.2700 Ge
0.9328 0.9328 0.3364 Ge
0.0672 0.0672 0.6636 Ge
0.7947 0.7947 0.7300 Ge
0.3495 0.3495 0.0590 Tm
0.5895 0.5895 0.3868 Tm
0.4105 0.4105 0.6132 Tm
0.6505 0.6505 0.9410 Tm
```

---

[3]
First-principles (GGA-PBE) data for RbIrNO after structural relaxation, as listed in the Open Quantum Materials Database.

Properties
Size of the total moment   0.0 μB/f.u.
Energy above the most stable polymorph in this dataset   0.22 eV per formula unit
Space group   Pmc2_1, No. 26

Geometry as POSCAR:
```
RbIrNO
1.0
-0.2542 2.3114 -2.4909
3.4811 4.2160 3.5569
5.5048 -2.2836 -2.6807
Ir N O Rb
2 2 2 2
direct
0.5000 0.9925 0.0875 Ir
0.5000 0.4925 0.9125 Ir
0.0000 0.9355 0.1977 N
0.0000 0.4355 0.8023 N
0.5000 0.2937 0.1477 O
0.5000 0.7937 0.8523 O
0.0000 0.5324 0.3696 Rb
0.0000 0.0324 0.6304 Rb
```

---

[4]
First-principles (GGA-PBE) data for MgScCoB after structural relaxation, as listed in the Open Quantum Materials Database.

Properties
Size of the total moment   0.0 μB/f.u.
Energy above the most stable polymorph in this dataset   0.29 eV per formula unit
Space group   F-43m, No. 216

Geometry as POSCAR:
```
MgScCoB
1.0
0.0000 2.9605 2.9605
2.9605 0.0000 2.9605
2.9605 2.9605 0.0000
B Co Mg Sc
1 1 1 1
direct
0.0000 0.0000 0.0000 B
0.7500 0.7500 0.7500 Co
0.5000 0.5000 0.5000 Mg
0.2500 0.2500 0.2500 Sc
```

---

Number 1: calculated total energy -3.739 eV per atom. Number 2: calculated total energy -5.758 eV per atom. Number 3: calculated total energy -5.943 eV per atom. Number 4: calculated total energy -5.187 eV per atom.